Record 1
VASP calculation (GGA-PBE) on BePdPbAu after structural relaxation.

The structure belongs to space group Cm (No. 8); the cell edges are 6.573, 3.802 and 6.395 Å and the angles 90.00°, 109.33° and 90.00°. The asymmetric unit holds Be at (0.000, 0.000, 0.000), Pd at (0.378, 0.000, 0.135), Pb at (0.323, 0.500, 0.471) and Au at (0.113, 0.500, 0.832).

The formation energy comes out at -0.13 eV/atom. Its total DFT energy (no corrections) is -4.11 eV/atom. As for the calculated volume: 150.8 Å³ per cell. The value obtained for the relative energy among the computed polymorphs is 24.7 meV/atom.


Record 2
VASP calculation (GGA-PBE) on Mn2CuRh after structural relaxation.

The structure belongs to space group F-43m (No. 216); the cell edges are 5.947, 5.947 and 5.947 Å and the angles 90.00°, 90.00° and 90.00°. The asymmetric unit holds Mn at (0.000, 0.000, 0.000), Mn at (0.250, 0.250, 0.250), Cu at (0.250, 0.250, 0.750) and Rh at (0.000, 0.000, 0.500).

The formation energy comes out at 0.15 eV/atom. Its total DFT energy (no corrections) is -7.30 eV/atom. As for the calculated volume: 210.4 Å³ per cell.


no.,mass density (g cm⁻³)
1,11.443
2,8.725